(1)
Computed, not measured: a relaxed structure of Pm2NdTl2 at the PBE-GGA level of DFT.

Cell: 3.541 9.327 9.327 Å, 90.00 90.00 90.00°
Each line ends with the local moment (μB).
Element x y z (fractional)
Pm: 0.000 0.379 0.879  -0.03
Pm: 0.000 0.879 0.621  -0.03
Pm: 0.000 0.621 0.121  -0.03
Pm: 0.000 0.121 0.379  -0.03
Nd: 0.000 0.000 0.000  0.14
Nd: 0.000 0.500 0.500  0.14
Tl: 0.500 0.177 0.677  0.00
Tl: 0.500 0.677 0.823  0.00
Tl: 0.500 0.823 0.323  0.00
Tl: 0.500 0.323 0.177  0.00

Calculated values
Its energy relative to the lowest polymorph listed for this composition is 0 meV per atom. The value obtained for the calculated formation energy is -0.9 eV per formula unit.



(2)
Computed, not measured: a relaxed structure of TbVAs2 at the PBE-GGA level of DFT.

Cell: 3.918 3.918 6.570 Å, 72.65 72.65 60.00°
Each line ends with the local moment (μB).
Element x y z (fractional)
As: 0.263 0.263 0.211  -0.07
As: 0.737 0.737 0.789  -0.07
Tb: 0.500 0.500 0.500  -0.05
V: 0.000 0.000 0.000  1.79

Calculated values
The value obtained for the calculated formation energy is -3.3 eV per formula unit.



(3)
Computed, not measured: a relaxed structure of Mn4Ir3 at the PBE-GGA level of DFT.

Cell: 5.134 5.134 4.382 Å, 90.00 90.00 120.00°
Each line ends with the local moment (μB).
Element x y z (fractional)
Mn: 0.000 0.000 0.272  1.26
Mn: 0.000 0.000 0.728  1.26
Mn: 0.667 0.333 0.500  3.38
Mn: 0.333 0.667 0.500  3.38
Ir: 0.000 0.500 0.000  -0.15
Ir: 0.500 0.500 0.000  -0.15
Ir: 0.500 0.000 0.000  -0.15

Calculated values
Its energy relative to the lowest polymorph listed for this composition is 131 meV per atom. The value obtained for the calculated formation energy is 1.0 eV per formula unit.



(4)
Computed, not measured: a relaxed structure of Ba2SrNiBi at the PBE-GGA level of DFT.

Cell: 5.800 5.800 5.770 Å, 90.00 90.00 90.00°
Element x y z (fractional)
Sr: 0.000 0.000 0.500
Ni: 0.000 0.000 0.000
Bi: 0.500 0.500 0.500
Ba: 0.000 0.500 0.000
Ba: 0.500 0.000 0.000

Calculated values
The value obtained for the calculated formation energy is -1.6 eV per formula unit.



(5)
Computed, not measured: a relaxed structure of ZnCSeN2 at the PBE-GGA level of DFT.

Cell: 3.829 3.919 3.829 Å, 90.00 90.00 90.00°
Each line ends with the local moment (μB).
Element x y z (fractional)
Zn: 0.500 0.500 0.500  0.01
C: 0.000 0.500 0.000  0.38
Se: 0.000 0.000 0.000  -0.01
N: 0.000 0.000 0.500  0.15
N: 0.500 0.000 0.000  0.12

Calculated values
Its energy relative to the lowest polymorph listed for this composition is 353 meV per atom. Its formation energy from raw total energies is 2247.9 meV/atom.



(6)
Computed, not measured: a relaxed structure of MgAlTeO6 at the PBE-GGA level of DFT.

Cell: 5.050 5.050 8.943 Å, 90.00 90.00 120.00°
Each line ends with the local moment (μB).
Element x y z (fractional)
Mg: 0.000 0.000 0.000  0.00
Mg: 0.000 0.000 0.500  0.00
Al: 0.667 0.333 0.250  -0.01
Al: 0.333 0.667 0.750  -0.01
Te: 0.333 0.667 0.250  -0.02
Te: 0.667 0.333 0.750  -0.02
O: 0.649 0.645 0.134  0.15
O: 0.996 0.351 0.134  0.15
O: 0.351 0.996 0.634  0.15
O: 0.004 0.649 0.866  0.15
O: 0.355 0.351 0.366  0.15
O: 0.996 0.645 0.366  0.15
O: 0.645 0.996 0.866  0.15
O: 0.649 0.004 0.366  0.15
O: 0.004 0.355 0.634  0.15
O: 0.355 0.004 0.134  0.15
O: 0.645 0.649 0.634  0.15
O: 0.351 0.355 0.866  0.15

Calculated values
Its formation energy from raw total energies is -1804.8 meV/atom.



(7)
Computed, not measured: a relaxed structure of RbMnIr2 at the PBE-GGA level of DFT.

Cell: 4.956 4.956 9.511 Å, 74.90 74.90 90.00°
Each line ends with the local moment (μB).
Element x y z (fractional)
Mn: 0.500 0.500 0.000  3.85
Mn: 0.250 0.750 0.500  3.85
Ir: 0.375 0.125 0.250  0.26
Ir: 0.375 0.625 0.250  0.27
Ir: 0.375 0.625 0.750  0.13
Ir: 0.875 0.625 0.750  0.15
Rb: 0.000 0.000 0.000  0.01
Rb: 0.750 0.250 0.500  0.01

Calculated values
Its energy relative to the lowest polymorph listed for this composition is 0 meV per atom. The value obtained for the calculated formation energy is 3.6 eV per formula unit.



(8)
Computed, not measured: a relaxed structure of RbPuSeCl2 at the PBE-GGA level of DFT.

Cell: 4.223 9.446 8.291 Å, 90.00 90.00 102.92°
Each line ends with the local moment (μB).
Element x y z (fractional)
Rb: 0.710 0.420 0.750  0.00
Rb: 0.290 0.580 0.250  0.00
Pu: 0.000 0.000 0.000  5.08
Pu: 0.000 0.000 0.500  5.08
Se: 0.505 0.010 0.750  -0.13
Se: 0.495 0.990 0.250  -0.13
Cl: 0.146 0.293 0.011  -0.03
Cl: 0.854 0.707 0.989  -0.03
Cl: 0.146 0.293 0.489  -0.03
Cl: 0.854 0.707 0.511  -0.03

Calculated values
Its formation energy from raw total energies is -1745.9 meV/atom.